Record 1
## LaInPO2 (PBE)

Data for an optimized crystal structure of LaInPO2.

- M_tot (μB per formula unit) = 0.05
- density of states at the Fermi level (states/eV per atom) = 1.086
- formation energy without anion corrections (eV per atom) = -1.1383
- excess energy over the best structure of this formula in the dataset (meV/atom) = 0

Lattice parameters (Å, degrees): 4.286 4.286 4.942 90.00 90.00 90.00
Atoms (fractional coordinates):
La 0.000 0.000 0.000
In 0.500 0.500 0.500
P 0.500 0.500 0.000
O 0.000 0.500 0.500
O 0.500 0.000 0.500

---

Record 2
## ReGeO3 (PBE)

Data for an optimized crystal structure of ReGeO3.

- M_tot (μB per formula unit) = 0.00
- density of states at the Fermi level (states/eV per atom) = 0.601
- formation energy without anion corrections (eV per atom) = -0.8426

Lattice parameters (Å, degrees): 3.912 3.912 3.912 90.00 90.00 90.00
Atoms (fractional coordinates):
Re 0.000 0.000 0.000
Ge 0.500 0.500 0.500
O 0.000 0.000 0.500
O 0.000 0.500 0.000
O 0.500 0.000 0.000

---

Record 3
## HRu (PBE)

Data for an optimized crystal structure of HRu.

- total DFT energy (no corrections) (eV/atom) = -6.11
- M_tot (μB per formula unit) = 0.00
- density of states at the Fermi level (states/eV per atom) = 0.505

Lattice parameters (Å, degrees): 5.231 5.231 5.231 31.28 31.28 31.28
Atoms (fractional coordinates):
H 0.209 0.209 0.209
H 0.791 0.791 0.791
Ru 0.404 0.404 0.404
Ru 0.596 0.596 0.596

---

Record 4
## PaCuO6 (PBE)

Data for an optimized crystal structure of PaCuO6.

- M_tot (μB per formula unit) = 2.25
- density of states at the Fermi level (states/eV per atom) = 0.872
- formation energy without anion corrections (eV per atom) = -1.0948

Lattice parameters (Å, degrees): 5.604 5.604 5.604 60.00 60.00 60.00
Atoms (fractional coordinates):
Pa 0.000 0.000 0.000
Cu 0.500 0.500 0.500
O 0.263 0.263 0.737
O 0.263 0.737 0.263
O 0.263 0.737 0.737
O 0.737 0.263 0.263
O 0.737 0.263 0.737
O 0.737 0.737 0.263

---

Record 5
## Tb4PrHg4 (PBE)

Data for an optimized crystal structure of Tb4PrHg4.

- M_tot (μB per formula unit) = 0.00
- density of states at the Fermi level (states/eV per atom) = 0.877
- ΔE_f (eV per atom) = -0.2605

Lattice parameters (Å, degrees): 9.626 9.626 5.562 90.00 90.00 90.00
Atoms (fractional coordinates):
Tb 0.100 0.839 0.162
Tb 0.161 0.600 0.662
Tb 0.339 0.900 0.662
Tb 0.400 0.661 0.162
Tb 0.600 0.339 0.838
Tb 0.661 0.100 0.338
Tb 0.839 0.400 0.338
Tb 0.900 0.161 0.838
Pr 0.250 0.250 0.750
Pr 0.750 0.750 0.250
Hg 0.042 0.144 0.338
Hg 0.144 0.458 0.162
Hg 0.356 0.042 0.162
Hg 0.458 0.356 0.338
Hg 0.542 0.644 0.662
Hg 0.644 0.958 0.838
Hg 0.856 0.542 0.838
Hg 0.958 0.856 0.662

---

Record 6
## AcPuMgHg (PBE)

Data for an optimized crystal structure of AcPuMgHg.

- M_tot (μB per formula unit) = 6.25
- density of states at the Fermi level (states/eV per atom) = 3.387
- ΔE_f (eV per atom) = -0.0388

Lattice parameters (Å, degrees): 5.576 5.576 5.576 60.00 60.00 60.00
Atoms (fractional coordinates):
Ac 0.000 0.000 0.000
Pu 0.500 0.500 0.500
Mg 0.250 0.250 0.250
Hg 0.750 0.750 0.750

---

Question: density of states at the Fermi level of number 2 (ReGeO3)?
Answer: 0.601 states/eV per atom